Record 1
Ba3Na2SnO6 | PBE | relaxed

Lattice parameters (Å, degrees): 6.256 6.256 6.731 90.00 90.00 120.00
Positions (direct):
Ba (0.000, 0.000, 0.000)
Ba (0.333, 0.667, 0.602)
Ba (0.667, 0.333, 0.398)
Na (0.333, 0.667, 0.150)
Na (0.667, 0.333, 0.850)
Sn (0.000, 0.000, 0.500)
O (0.159, 0.318, 0.313)
O (0.159, 0.841, 0.313)
O (0.318, 0.159, 0.687)
O (0.682, 0.841, 0.313)
O (0.841, 0.159, 0.687)
O (0.841, 0.682, 0.687)

Values from the calculation:
As for the space-group type: P-3m1 (164). As for the crystal system: trigonal.



Record 2
Ba2NaSnO | PBE | relaxed

Lattice parameters (Å, degrees): 5.524 5.524 4.913 90.00 90.00 90.00
Positions (direct):
Ba (0.000, 0.500, 0.000)
Ba (0.500, 0.000, 0.000)
Na (0.000, 0.000, 0.500)
Sn (0.500, 0.500, 0.500)
O (0.000, 0.000, 0.000)

Values from the calculation:
As for the space-group type: P4/mmm (123). As for the crystal system: tetragonal.



Record 3
Ba3NaSn2O6 | PBE | relaxed

Lattice parameters (Å, degrees): 6.248 6.248 7.028 90.00 90.00 120.00
Positions (direct):
Ba (0.000, 0.000, 0.000)
Ba (0.333, 0.667, 0.620)
Ba (0.667, 0.333, 0.380)
Na (0.000, 0.000, 0.500)
Sn (0.333, 0.667, 0.147)
Sn (0.667, 0.333, 0.853)
O (0.173, 0.347, 0.295)
O (0.173, 0.827, 0.295)
O (0.347, 0.173, 0.705)
O (0.653, 0.827, 0.295)
O (0.827, 0.173, 0.705)
O (0.827, 0.653, 0.705)

Values from the calculation:
As for the space-group type: P-3m1 (164). As for the crystal system: trigonal.



Record 4
Ba3NaSn2O9 | PBE | relaxed

Lattice parameters (Å, degrees): 5.951 5.951 7.663 90.00 90.00 120.00
Positions (direct):
Ba (0.000, 0.000, 0.000)
Ba (0.333, 0.667, 0.653)
Ba (0.667, 0.333, 0.347)
Na (0.000, 0.000, 0.500)
Sn (0.333, 0.667, 0.152)
Sn (0.667, 0.333, 0.848)
O (0.000, 0.500, 0.000)
O (0.176, 0.353, 0.320)
O (0.176, 0.824, 0.320)
O (0.353, 0.176, 0.680)
O (0.500, 0.000, 0.000)
O (0.500, 0.500, 0.000)
O (0.647, 0.824, 0.320)
O (0.824, 0.176, 0.680)
O (0.824, 0.647, 0.680)

Values from the calculation:
As for the space-group type: P-3m1 (164). As for the crystal system: trigonal.



Record 5
Ba2NaSrO | PBE | relaxed

Lattice parameters (Å, degrees): 5.946 5.946 5.146 90.00 90.00 90.00
Positions (direct):
Ba (0.000, 0.500, 0.000)
Ba (0.500, 0.000, 0.000)
Na (0.000, 0.000, 0.500)
Sr (0.500, 0.500, 0.500)
O (0.500, 0.500, 0.000)

Values from the calculation:
As for the space-group type: P4/mmm (123). As for the crystal system: tetragonal.



Record 6
BaNaSr2O | PBE | relaxed

Lattice parameters (Å, degrees): 5.251 5.251 6.228 90.00 90.00 90.00
Positions (direct):
Ba (0.000, 0.000, 0.000)
Na (0.500, 0.500, 0.000)
Sr (0.000, 0.500, 0.500)
Sr (0.500, 0.000, 0.500)
O (0.000, 0.000, 0.500)

Values from the calculation:
As for the space-group type: P4/mmm (123). As for the crystal system: tetragonal.



Record 7
Ba3NaTa2O9 | PBE | relaxed

Lattice parameters (Å, degrees): 5.953 5.953 7.399 90.00 90.00 120.00
Positions (direct):
Ba (0.000, 0.000, 0.000)
Ba (0.333, 0.667, 0.657)
Ba (0.667, 0.333, 0.343)
Na (0.000, 0.000, 0.500)
Ta (0.333, 0.667, 0.168)
Ta (0.667, 0.333, 0.832)
O (0.000, 0.500, 0.000)
O (0.178, 0.355, 0.311)
O (0.178, 0.822, 0.311)
O (0.355, 0.178, 0.689)
O (0.500, 0.000, 0.000)
O (0.500, 0.500, 0.000)
O (0.645, 0.822, 0.311)
O (0.822, 0.178, 0.689)
O (0.822, 0.645, 0.689)

Values from the calculation:
As for the space-group type: P-3m1 (164). As for the crystal system: trigonal.



Record 8
Ba2Na2TaO6 | PBE | relaxed

Lattice parameters (Å, degrees): 6.469 6.469 6.469 59.27 59.27 59.27
Positions (direct):
Ba (0.216, 0.216, 0.216)
Ba (0.784, 0.784, 0.784)
Na (0.421, 0.421, 0.421)
Na (0.579, 0.579, 0.579)
Ta (0.000, 0.000, 0.000)
O (0.205, 0.780, 0.780)
O (0.220, 0.220, 0.795)
O (0.220, 0.795, 0.220)
O (0.780, 0.205, 0.780)
O (0.780, 0.780, 0.205)
O (0.795, 0.220, 0.220)

Values from the calculation:
As for the space-group type: R-3m (166). As for the crystal system: trigonal.



no.,ΔE_f (raw) (eV per atom),E (eV per atom)
1,-1.94,-5.4495
2,-1.19,-4.0120
3,-1.95,-5.6869
4,-1.82,-5.8017
5,-0.93,-3.2930
6,-0.94,-3.2565
7,-2.73,-7.7575
8,-2.18,-6.5516